## P
12
Lattice="-2.641 -2.317 -2.696 5.866 -2.114 -7.566 2.532 -10.905 3.255" Properties=species:S:1:pos:R:3 comment="GGA-PBE Sn2IBr3, relaxed" mass_density_g_cm3=4.16 volume_a3_per_cell=482.7 pbc="T T T"
Sn 2.096 -12.437 -2.276
Sn 3.661 -2.899 -4.732
Sn 0.616 -8.565 -0.517
Sn 5.141 -6.771 -6.491
I 3.202 -9.454 -2.286
I 2.555 -5.882 -4.722
Br 2.259 -9.096 1.967
Br 3.498 -6.241 -8.974
Br 4.432 -13.199 -3.908
Br 1.326 -2.137 -3.099
Br 4.054 -9.609 -6.624
Br 1.703 -5.728 -0.383

## Q
12
Lattice="-2.355 -7.303 -1.779 6.143 -0.731 -5.415 1.402 -2.406 7.736" Properties=species:S:1:pos:R:3 comment="GGA-PBE Sn2IBr3, relaxed" mass_density_g_cm3=4.26 volume_a3_per_cell=470.9 pbc="T T T"
Sn 4.240 -4.639 -4.293
Sn 4.535 -1.299 -0.954
Sn 3.010 -1.838 3.275
Sn 0.950 -5.801 4.834
I 2.665 -3.163 0.558
I 2.525 -7.277 -0.016
Br 1.365 -5.863 -3.945
Br -0.956 -6.683 2.495
Br 3.825 -4.577 4.487
Br -1.253 -5.499 -1.152
Br 6.444 -4.941 1.694
Br 6.147 -3.757 -1.953

Energies relative to the most stable structure, in kJ/mol of atoms: P 0.0; Q 5.8.

## P
8
Lattice="8.698 0.000 0.000 0.000 8.698 0.000 4.349 4.349 3.560" Properties=species:S:1:pos:R:3 comment="GGA-PBE Sn2IBr, relaxed" mass_density_g_cm3=5.48 volume_a3_per_cell=269.3 pbc="T T T"
I 0.000 0.000 0.000
I 8.698 4.349 1.780
Sn 6.419 2.175 0.890
Sn 2.279 6.524 0.890
Sn 6.524 6.628 2.670
Sn 10.873 10.768 2.670
Br 4.349 4.349 0.000
Br 4.349 8.698 1.780

## Q
4
Lattice="0.000 3.926 3.926 3.926 0.000 3.926 3.926 3.926 0.000" Properties=species:S:1:pos:R:3 comment="GGA-PBE Sn2IBr, relaxed" mass_density_g_cm3=6.09 volume_a3_per_cell=121.0 pbc="T T T"
I 3.926 3.926 3.926
Sn 1.963 1.963 1.963
Sn 5.889 5.889 5.889
Br 0.000 0.000 0.000

Energies relative to the most stable structure, in kJ/mol of atoms: P 0.0; Q 9.2.

## P
10
Lattice="8.212 0.000 0.000 0.000 8.212 0.000 0.000 0.000 4.906" Properties=species:S:1:pos:R:3 comment="GGA-PBE Sn2I2Br, relaxed" mass_density_g_cm3=5.73 volume_a3_per_cell=330.8 pbc="T T T"
I 1.363 5.469 2.453
I 5.469 6.848 2.453
I 6.848 2.742 2.453
I 2.742 1.363 2.453
Sn 2.881 6.987 0.000
Sn 6.987 5.330 0.000
Sn 5.330 1.225 0.000
Sn 1.225 2.881 0.000
Br 0.000 0.000 0.000
Br 4.106 4.106 0.000

## Q
20
Lattice="6.758 0.000 0.000 0.000 9.092 0.000 0.000 0.000 13.490" Properties=species:S:1:pos:R:3 comment="GGA-PBE Sn2I2Br, relaxed" mass_density_g_cm3=4.58 volume_a3_per_cell=829.0 pbc="T T T"
Sn 5.069 3.680 10.196
Sn 1.690 0.866 3.451
Sn 1.690 5.412 3.294
Sn 5.069 8.227 10.039
Sn 5.069 7.777 1.116
Sn 1.690 5.862 7.861
Sn 1.690 1.316 12.375
Sn 5.069 3.230 5.630
I 5.069 5.818 7.808
I 1.690 7.820 1.063
I 1.690 3.274 5.682
I 5.069 1.272 12.427
I 5.069 0.877 3.561
I 1.690 3.669 10.306
I 1.690 8.216 9.930
I 5.069 5.423 3.184
Br 5.069 1.640 8.139
Br 1.690 2.907 1.394
Br 1.690 7.453 5.351
Br 5.069 6.186 12.096

Energies relative to the most stable structure, in kJ/mol of atoms: P 0.0; Q 0.8.

## P
5
Lattice="-5.668 -0.598 0.518 -0.333 -1.594 -5.487 0.712 -5.423 1.532" Properties=species:S:1:pos:R:3 comment="GGA-PBE SnTe2IBr, relaxed" mass_density_g_cm3=5.18 volume_a3_per_cell=186.1 pbc="T T T"
I 0.356 -2.712 0.766
Te -0.166 -0.797 -2.743
Te -2.834 -0.299 0.259
Sn -2.645 -3.808 -1.718
Br 0.000 0.000 0.000

## Q
5
Lattice="5.831 0.000 0.000 0.000 5.831 0.000 0.000 0.000 5.872" Properties=species:S:1:pos:R:3 comment="GGA-PBE SnTe2IBr, relaxed" mass_density_g_cm3=4.83 volume_a3_per_cell=199.7 pbc="T T T"
I 0.000 0.000 2.936
Te 0.000 2.916 0.000
Te 2.916 0.000 0.000
Sn 0.000 0.000 0.000
Br 2.916 2.916 2.936

Energies relative to the most stable structure, in kJ/mol of atoms: P 18.0; Q 0.0.